Entry 1:
A plane-wave DFT calculation with GGA-PBE was carried out for a relaxed HoBi6 crystal.

Unit cell a=8.7716 b=8.7716 c=8.7716 alpha=90.00 beta=90.00 gamma=90.00
Last column: nearest neighbours and their distance in Å.
Space group Im-3m (No. 229)
One atom of each set of equivalent atoms:
1 Ho 0.0000 0.0000 0.0000 x2  24 Bi 4.90
2 Bi 0.0000 0.2500 0.5000 x12  4 Bi 3.10

Summary:
Formation energy from the elements (kJ/mol of atoms): 54

Entry 2:
A plane-wave DFT calculation with GGA-PBE was carried out for a relaxed VCdPt2 crystal.

Unit cell a=7.1916 b=7.1916 c=5.5716 alpha=90.00 beta=90.00 gamma=90.00
Last column: nearest neighbours and their distance in Å.
Space group I-42d (No. 122)
One atom of each set of equivalent atoms:
1 V 0.0000 0.0000 0.0000 x4  4 Pt 2.44
2 Cd 0.0000 0.0000 0.5000 x4  2 V 2.79, 4 Pt 2.85
3 Pt 0.2078 0.2500 0.1250 x8  2 V 2.44

Summary:
Formation energy from the elements (kJ/mol of atoms): 4

Entry 3:
A plane-wave DFT calculation with GGA-PBE was carried out for a relaxed Mg2Be2FePt5 crystal.

Unit cell a=9.2535 b=9.2535 c=3.3422 alpha=90.00 beta=90.00 gamma=90.00
Last column: nearest neighbours and their distance in Å.
Space group P4/mbm (No. 127)
One atom of each set of equivalent atoms:
1 Mg 0.1743 0.3257 0.0000 x4  3 Be 2.63-2.81, 6 Pt 2.83-2.90
2 Be 0.1249 0.6249 0.0000 x4  6 Pt 2.33-2.34
3 Fe 0.0000 0.0000 0.0000 x2  8 Pt 2.63
4 Pt 0.0000 0.5000 0.5000 x2  4 Be 2.34
5 Pt 0.0724 0.7922 0.5000 x8  2 Be 2.33

Summary:
Formation energy from the elements (kJ/mol of atoms): -64

Entry 4:
A plane-wave DFT calculation with GGA-PBE was carried out for a relaxed K3LiNi2Cl9 crystal.

Unit cell a=6.8578 b=6.8578 c=8.4779 alpha=90.00 beta=90.00 gamma=120.00
Last column: nearest neighbours and their distance in Å.
Space group P-3m1 (No. 164)
One atom of each set of equivalent atoms:
1 K 0.0000 0.0000 0.0000 x1  12 Cl 3.41-3.43
2 K 0.3333 0.6667 0.6630 x2  12 Cl 3.43-3.48
3 Li 0.0000 0.0000 0.5000 x1  6 Cl 2.55
4 Ni 0.3333 0.6667 0.1685 x2  6 Cl 2.30-2.44
5 Cl 0.0000 0.5000 0.0000 x3  2 Ni 2.44
6 Cl 0.1728 0.3457 0.3208 x6  1 Ni 2.30, 1 Li 2.55

Summary:
Formation energy from raw total energies (eV per atom): -1.230

Entry 5:
A plane-wave DFT calculation with GGA-PBE was carried out for a relaxed InHg2Pb2 crystal.

Unit cell a=4.6210 b=4.6210 c=14.6966 alpha=90.00 beta=90.00 gamma=90.00
Last column: nearest neighbours and their distance in Å.
Space group I4/mmm (No. 139)
One atom of each set of equivalent atoms:
1 In 0.0000 0.0000 0.0000 x2  8 Hg 3.56
2 Hg 0.0000 0.0000 0.4038 x4  1 Hg 2.83
3 Pb 0.0000 0.5000 0.2500 x4  4 Hg 3.23, 4 Pb 3.27

Summary:
Distance to the lowest polymorph of the same formula (meV per atom): 69.7
Formation energy from the elements (kJ/mol of atoms): 12

Entry 6:
A plane-wave DFT calculation with GGA-PBE was carried out for a relaxed SrAgN crystal.

Unit cell a=4.0744 b=4.7733 c=6.0116 alpha=90.00 beta=90.00 gamma=90.00
Last column: nearest neighbours and their distance in Å.
Space group Pmn2_1 (No. 31)
One atom of each set of equivalent atoms:
1 Sr 0.0000 0.1754 0.0000 x2  4 N 2.64-2.88
2 Ag 0.0000 0.3586 0.4830 x2  3 N 2.38-2.43
3 N 0.0000 0.7038 0.7697 x2  3 Ag 2.38-2.43, 3 Sr 2.64-2.67

Summary:
Formation energy from raw total energies (eV per atom): 0.010

Entry 7:
A plane-wave DFT calculation with GGA-PBE was carried out for a relaxed La6MgGa crystal.

Unit cell a=7.6036 b=7.6062 c=9.7959 alpha=90.00 beta=112.74 gamma=90.00
Last column: nearest neighbours and their distance in Å.
Space group C2/m (No. 12)
One atom of each set of equivalent atoms:
1 La 0.1421 0.2500 0.2841 x8  2 Mg 3.32, 2 Ga 3.32, 2 La 3.70
2 La 0.2478 0.0000 0.9977 x4  12 La 3.70-3.82
3 Mg 0.0000 0.5000 0.5000 x2  8 La 3.32
4 Ga 0.0000 0.0000 0.5000 x2  8 La 3.32

Summary:
Formation energy from the elements (kJ/mol of atoms): -15

Entry 8:
A plane-wave DFT calculation with GGA-PBE was carried out for a relaxed AlPBr4 crystal.

Unit cell a=8.9974 b=8.9974 c=8.9974 alpha=90.00 beta=90.00 gamma=90.00
Last column: nearest neighbours and their distance in Å.
Space group F-43m (No. 216)
One atom of each set of equivalent atoms:
1 Al 0.0000 0.0000 0.0000 x4  12 Br 3.73, 4 P 3.90
2 P 0.2500 0.2500 0.2500 x4  12 Br 3.73, 4 Al 3.90
3 Br 0.1249 0.1249 0.6249 x16  6 Br 3.18

Summary:
Formation energy from raw total energies (eV per atom): 0.908
Distance to the lowest polymorph of the same formula (meV per atom): 1224.7

Entry 9:
A plane-wave DFT calculation with GGA-PBE was carried out for a relaxed RbPt3Pb3 crystal.

Unit cell a=6.9543 b=6.9543 c=29.0288 alpha=90.00 beta=90.00 gamma=120.00
Last column: nearest neighbours and their distance in Å.
Space group R-3 (No. 148, hexagonal axes)
One atom of each set of equivalent atoms:
1 Rb 0.0000 0.0000 0.1930 x6  6 Pb 3.63-4.02, 3 Pt 3.82
2 Pt 0.0432 0.7984 0.6873 x18  5 Pt 2.73-2.86, 3 Pb 2.82-2.91
3 Pb 0.0097 0.5607 0.2584 x18  3 Pt 2.82-2.91

Summary:
Distance to the lowest polymorph of the same formula (meV per atom): 0.0
Formation energy from the elements (kJ/mol of atoms): -13

Entry 10:
A plane-wave DFT calculation with GGA-PBE was carried out for a relaxed TaZn2Si crystal.

Unit cell a=9.7912 b=2.8209 c=4.9975 alpha=90.00 beta=115.38 gamma=90.00
Last column: nearest neighbours and their distance in Å.
Space group Cm (No. 8)
One atom of each set of equivalent atoms:
1 Ta 0.0000 0.0000 0.0000 x2  3 Si 2.63-2.69, 2 Ta 2.82, 7 Zn 2.82-2.92
2 Zn 0.0073 0.5000 0.5174 x2  5 Zn 2.62-2.82, 3 Si 2.82-2.86, 4 Ta 2.82-2.92
3 Zn 0.2532 0.5000 0.4308 x2  5 Zn 2.62-2.82, 2 Si 2.78, 3 Ta 2.84-2.86
4 Si 0.2578 0.0000 0.9564 x2  3 Ta 2.63-2.69, 5 Zn 2.78-2.86, 2 Si 2.82

Summary:
Formation energy from raw total energies (eV per atom): -0.036

Entry 11:
A plane-wave DFT calculation with GGA-PBE was carried out for a relaxed YTeCl crystal.

Unit cell a=4.2370 b=7.2788 c=7.8997 alpha=73.97 beta=74.95 gamma=90.00
Last column: nearest neighbours and their distance in Å.
Space group P-1 (No. 2)
One atom of each set of equivalent atoms:
1 Y 0.2451 0.2594 0.0098 x2  3 Cl 2.80-2.84, 3 Te 3.00-3.01
2 Te 0.3735 0.6545 0.7450 x2  3 Y 3.00-3.01
3 Cl 0.1642 0.8631 0.1775 x2  3 Y 2.80-2.84

Summary:
Formation energy from raw total energies (eV per atom): -1.740

Entry 12:
A plane-wave DFT calculation with GGA-PBE was carried out for a relaxed DyYLu2 crystal.

Unit cell a=4.9725 b=4.9725 c=4.9447 alpha=90.00 beta=90.00 gamma=90.00
Last column: nearest neighbours and their distance in Å.
Space group P4/mmm (No. 123)
One atom of each set of equivalent atoms:
1 Dy 0.0000 0.0000 0.0000 x1  8 Lu 3.51, 4 Y 3.52
2 Y 0.5000 0.5000 0.0000 x1  8 Lu 3.51, 4 Dy 3.52
3 Lu 0.0000 0.5000 0.5000 x2  4 Dy 3.51, 4 Y 3.51, 4 Lu 3.52

Summary:
Distance to the lowest polymorph of the same formula (meV per atom): 1.7
Formation energy from the elements (kJ/mol of atoms): 3